# Na2LiWO4, relaxed, DFT PBE with a Hubbard U
# - total moment (μB per atom) = 0.125
# - E (eV/atom) = -5.673
# - D(E_F) (states/eV/cell) = 0.0
# - crystal system = tetragonal
data_Na2LiWO4
_chemical_formula_sum 'Na4 Li2 W2 O8'
_space_group_name_H-M_alt 'I -4 2 m'
_space_group_IT_number 121
_space_group_name_Hall 'I -4 2'
_cell_length_a 6.0562
_cell_length_b 6.0562
_cell_length_c 5.5317
_cell_angle_alpha 90.00
_cell_angle_beta 90.00
_cell_angle_gamma 90.00
loop_
_atom_site_label
_atom_site_type_symbol
_atom_site_fract_x
_atom_site_fract_y
_atom_site_fract_z
Na1 Na 0.0000 0.5000 0.0000
Li1 Li 0.0000 0.0000 0.0000
W1 W 0.0000 0.0000 0.5000
O1 O 0.1664 0.1664 0.7276